Density functional theory data (PBE) for a relaxed structure of PuTl2AgCl6.

Properties
symmetry: No. 14

a = 7.3514 Å, b = 7.7738 Å, c = 10.5499 Å
α = 90.00°, β = 89.21°, γ = 90.00°
Closest atoms and distances in Å follow each position.
Positions (direct):
Pu 0.5000 0.0000 0.5000  6 Cl 2.72-2.73
Pu 0.0000 0.5000 0.0000  6 Cl 2.72-2.73
Tl 0.0219 0.9307 0.2502  6 Cl 3.23-3.52
Tl 0.5219 0.5693 0.7502  6 Cl 3.23-3.52
Tl 0.9781 0.0693 0.7498  6 Cl 3.23-3.52
Tl 0.4781 0.4307 0.2498  6 Cl 3.23-3.52
Ag 0.5000 0.0000 0.0000  6 Cl 2.74-2.83
Ag 0.0000 0.5000 0.5000  6 Cl 2.74-2.83
Cl 0.2977 0.6966 0.0477  1 Pu 2.72, 1 Ag 2.83
Cl 0.7977 0.8034 0.5477  1 Pu 2.72, 1 Ag 2.83
Cl 0.7023 0.3034 0.9523  1 Pu 2.72, 1 Ag 2.83
Cl 0.2023 0.1966 0.4523  1 Pu 2.72, 1 Ag 2.83
Cl 0.3090 0.7060 0.4563  1 Pu 2.73, 1 Ag 2.81
Cl 0.8090 0.7940 0.9563  1 Pu 2.73, 1 Ag 2.81
Cl 0.6910 0.2940 0.5437  1 Pu 2.73, 1 Ag 2.81
Cl 0.1910 0.2060 0.0437  1 Pu 2.73, 1 Ag 2.81
Cl 0.9062 0.5256 0.2500  1 Pu 2.72, 1 Ag 2.74
Cl 0.4062 0.9744 0.7500  1 Pu 2.72, 1 Ag 2.74
Cl 0.0938 0.4744 0.7500  1 Pu 2.72, 1 Ag 2.74
Cl 0.5938 0.0256 0.2500  1 Pu 2.72, 1 Ag 2.74



Density functional theory data (PBE) for a relaxed structure of PuTl2Ag2Cl6.

Properties
symmetry: No. 12

a = 7.8334 Å, b = 7.4515 Å, c = 8.0805 Å
α = 116.99°, β = 90.00°, γ = 121.71°
Closest atoms and distances in Å follow each position.
Positions (direct):
Pu 0.5000 0.0000 0.5000  6 Cl 2.71-2.79
Tl 0.7268 0.4537 0.1867  1 Ag 3.09, 5 Cl 3.15-3.44
Tl 0.2732 0.5463 0.8133  1 Ag 3.09, 5 Cl 3.15-3.44
Ag 0.9489 0.8978 0.6159  3 Cl 2.62-2.63, 1 Ag 2.79
Ag 0.0511 0.1022 0.3841  3 Cl 2.62-2.63, 1 Ag 2.79
Cl 0.7455 0.4910 0.6266  1 Ag 2.63, 1 Pu 2.71
Cl 0.2164 0.8767 0.1909  1 Ag 2.62, 1 Pu 2.79
Cl 0.3397 0.1233 0.8091  1 Ag 2.62, 1 Pu 2.79
Cl 0.7836 0.1233 0.8091  1 Ag 2.62, 1 Pu 2.79
Cl 0.6603 0.8767 0.1909  1 Ag 2.62, 1 Pu 2.79
Cl 0.2545 0.5090 0.3734  1 Ag 2.63, 1 Pu 2.71



Density functional theory data (PBE) for a relaxed structure of PuTlAgCl6.

Properties
symmetry: No. 163

a = 6.9480 Å, b = 6.9480 Å, c = 14.1449 Å
α = 90.00°, β = 90.00°, γ = 120.00°
Closest atoms and distances in Å follow each position.
Positions (direct):
Pu 0.6667 0.3333 0.2500  6 Cl 2.62
Pu 0.3333 0.6667 0.7500  6 Cl 2.62
Tl 0.0000 0.0000 0.0000  6 Cl 3.21
Tl 0.0000 0.0000 0.5000  6 Cl 3.21
Ag 0.3333 0.6667 0.2500  6 Cl 2.78
Ag 0.6667 0.3333 0.7500  6 Cl 2.78
Cl 0.6488 0.6301 0.1422  1 Pu 2.62, 1 Ag 2.78
Cl 0.9814 0.3512 0.1422  1 Pu 2.62, 1 Ag 2.78
Cl 0.3512 0.9814 0.6422  1 Pu 2.62, 1 Ag 2.78
Cl 0.0186 0.6488 0.8578  1 Pu 2.62, 1 Ag 2.78
Cl 0.3699 0.3512 0.3578  1 Pu 2.62, 1 Ag 2.78
Cl 0.9814 0.6301 0.3578  1 Pu 2.62, 1 Ag 2.78
Cl 0.6301 0.9814 0.8578  1 Pu 2.62, 1 Ag 2.78
Cl 0.6488 0.0186 0.3578  1 Pu 2.62, 1 Ag 2.78
Cl 0.0186 0.3699 0.6422  1 Pu 2.62, 1 Ag 2.78
Cl 0.3699 0.0186 0.1422  1 Pu 2.62, 1 Ag 2.78
Cl 0.6301 0.6488 0.6422  1 Pu 2.62, 1 Ag 2.78
Cl 0.3512 0.3699 0.8578  1 Pu 2.62, 1 Ag 2.78



Table of raw total energy (eV per cell), in record order: -91.4; -47.0; -84.3